An optimized crystal structure of KSrBO3, computed with PBE.

Computed properties:
- total DFT energy (no corrections) (eV/cell) = -78.8
- symmetry = No. 194

POSCAR file:
```
KSrBO3
1.0
5.668 0.000 0.000
-2.834 4.909 0.000
0.000 0.000 6.801
K Sr B O
2 2 2 6
Direct
0.333 0.667 0.250
0.667 0.333 0.750
0.000 0.000 0.000
0.000 0.000 0.500
0.333 0.667 0.750
0.667 0.333 0.250
0.191 0.382 0.750
0.191 0.809 0.750
0.382 0.191 0.250
0.618 0.809 0.750
0.809 0.191 0.250
0.809 0.618 0.250
```